Here is an optimized crystal structure of Ba2NaCdRh from Alexandria via LeMat-Bulk. Energies are from PBE.

Cell: 6.011 6.011 5.414 Å, 90.00 90.00 90.00°
Fractional coordinates of all 5 atoms:
Ba 0.000 0.500 0.000
Ba 0.500 0.000 0.000
Na 0.000 0.000 0.500
Cd 0.500 0.500 0.500
Rh 0.500 0.500 0.000

Output
DOS(E_F)   3.711 states/eV per cell
Calculated density   4.4 Mg/m³
Formation energy from the elements   -0.156 eV per atom
SG   P4/mmm (123)
DFT total energy   -2.84 eV per atom

Here is an optimized crystal structure of BaNaCdS2 from Alexandria via LeMat-Bulk. Energies are from PBE.

Cell: 7.483 4.966 7.980 Å, 90.00 99.75 90.00°
Fractional coordinates of all 10 atoms:
Ba 0.000 0.194 0.250
Ba 0.000 0.806 0.750
Na 0.500 0.489 0.750
Na 0.500 0.511 0.250
Cd 0.500 0.000 0.000
Cd 0.500 0.000 0.500
S 0.226 0.327 0.958
S 0.226 0.673 0.458
S 0.774 0.327 0.542
S 0.774 0.673 0.042

Output
DOS(E_F)   5.526 states/eV per cell
Raw formation energy   -4.952 eV/f.u.
Calculated density   3.8 Mg/m³
SG   P2/c (13)
DFT total energy   -3.47 eV per atom